LaMgNF2 | PBE | relaxed

Unit cell a=3.820 b=3.820 c=4.530 alpha=90.00 beta=90.00 gamma=90.00
Atoms (fractional coordinates):
N 0.000 0.000 0.500
Mg 0.000 0.000 0.000
F 0.000 0.500 0.000
F 0.500 0.000 0.000
La 0.500 0.500 0.500

## Properties
**Symmetry**: P4/mmm (123)
**Magnetization**: 0.0 μB per formula unit
**Electronic total energy**: -31.1 eV/cell
**E_form (uncorrected)**: -1210 kJ/mol of formula units